Material: NiSeBr2O
Method: DFT, PBE with a Hubbard U
State: relaxed

Properties
Space group: P4/mmm
Crystal system: tetragonal
Energy above the lowest structure with this stoichiometry, meV/atom: 0

```
5
Lattice="-0.371 -4.836 -0.075 4.754 -0.350 -0.896 0.781 -0.125 4.193" Properties=species:S:1:pos:R:3 pbc="T T T"
O 0.000 0.000 0.000
Ni 2.582 -2.656 1.611
Se 0.390 -0.063 2.097
Br 2.377 -0.175 -0.448
Br -0.185 -2.418 -0.038
```

***

Material: NiSeBrO2
Method: DFT, PBE with a Hubbard U
State: relaxed

Properties
Space group: P4/mmm
Crystal system: tetragonal
E_tot, eV per atom: -3.530

```
5
Lattice="3.751 0.000 0.000 0.000 5.735 0.000 0.000 0.000 3.751" Properties=species:S:1:pos:R:3 pbc="T T T"
O 0.000 0.000 1.876
O 1.876 0.000 0.000
Ni 0.000 2.867 0.000
Se 0.000 0.000 0.000
Br 1.876 2.867 1.876
```

***

Material: Ni5Se4Br2O12
Method: DFT, PBE with a Hubbard U
State: relaxed

Properties
Space group: P-1
Crystal system: triclinic
E_tot, eV per atom: -4.795

```
23
Lattice="-0.276 -2.859 -5.858 0.696 -7.363 2.316 -6.815 -3.846 -0.219" Properties=species:S:1:pos:R:3 pbc="T T T"
Ni -0.138 -1.429 -2.929
Ni -3.833 -5.551 -1.584
Ni -2.563 -8.516 -2.176
Ni -4.039 -11.287 -2.933
Ni -2.356 -2.780 -0.827
Se -4.696 -7.297 -4.368
Se -1.699 -6.770 0.608
Se -4.753 -9.954 0.049
Se -1.642 -4.114 -3.809
Br 0.133 -6.982 -2.555
Br -6.529 -7.086 -1.205
O -3.349 -4.436 0.118
O -3.046 -9.631 -3.878
O -2.848 -4.661 -4.908
O -3.547 -9.406 1.148
O -5.458 -4.322 -2.059
O -0.938 -9.746 -1.701
O -2.500 -4.204 -2.303
O -3.896 -9.863 -1.458
O -3.599 -6.971 -3.056
O -2.796 -7.096 -0.704
O -5.491 -5.763 -4.477
O -0.904 -8.305 0.717
```

***

Material: NiSeBr2O
Method: DFT, PBE with a Hubbard U
State: relaxed

Properties
Space group: P4/mmm
Crystal system: tetragonal
Energy above the lowest structure with this stoichiometry, meV/atom: 300

```
5
Lattice="-1.238 0.586 4.643 -3.879 -2.814 -0.679 2.507 -3.731 1.139" Properties=species:S:1:pos:R:3 pbc="T T T"
O -1.305 -2.980 2.551
Ni 0.000 0.000 0.000
Se 1.253 -1.866 0.570
Br -1.940 -1.407 -0.340
Br -0.619 0.293 2.321
```

***

Material: Ni5Te4Br2O12
Method: DFT, PBE with a Hubbard U
State: relaxed

Properties
Space group: C2/c
Crystal system: monoclinic
E_tot, eV per atom: -4.853

```
46
Lattice="10.605 0.006 -0.031 9.269 5.153 -0.031 9.105 2.364 13.466" Properties=species:S:1:pos:R:3 pbc="T T T"
Ni 13.188 4.971 5.064
Ni 18.493 3.253 11.797
Ni 12.898 1.784 6.318
Ni 12.288 1.626 0.353
Ni 10.486 4.270 1.607
Ni 16.690 5.897 13.051
Ni 16.080 5.738 7.086
Ni 15.791 2.551 8.340
Ni 16.423 5.671 10.069
Ni 12.555 1.852 3.336
Te 15.893 3.130 4.859
Te 10.265 3.838 5.088
Te 18.714 3.684 8.316
Te 15.388 2.821 11.821
Te 13.591 4.702 1.583
Te 13.085 4.392 8.545
Te 19.962 6.177 11.592
Te 9.017 1.345 1.812
Br 23.100 4.992 12.095
Br 10.920 1.830 8.042
Br 5.878 2.531 1.309
Br 18.059 5.693 5.362
O 12.352 5.156 6.954
O 8.748 0.321 0.221
O 19.936 4.510 12.502
O 21.629 5.571 4.720
O 14.220 4.588 3.333
O 9.770 3.432 3.339
O 26.161 6.834 11.453
O 16.627 2.366 6.450
O 20.231 7.202 13.183
O 16.599 4.339 11.672
O 15.060 4.574 5.769
O 14.402 1.905 4.772
O 2.818 0.688 1.951
O 12.061 3.100 4.939
O 12.380 3.183 1.733
O 18.063 6.522 11.505
O 14.577 5.617 8.632
O 19.209 4.090 10.065
O 10.916 1.001 1.900
O 16.917 4.422 8.466
O 13.919 2.949 7.635
O 14.758 2.935 10.072
O 9.043 3.012 0.902
O 7.350 1.951 8.684
```

***

Material: TlNiBrO5
Method: DFT, PBE with a Hubbard U
State: relaxed

Properties
Space group: C2/c
Crystal system: monoclinic
E_tot, eV per atom: -4.128

```
16
Lattice="-6.489 0.845 -0.610 3.067 -1.277 -5.670 1.359 -5.660 4.940" Properties=species:S:1:pos:R:3 pbc="T T T"
Tl 0.679 -2.830 2.470
Tl 0.000 0.000 0.000
Ni 1.037 -2.166 -3.181
Ni -3.100 -3.926 1.840
Br -3.547 -1.148 -0.753
Br 1.484 -4.944 -0.587
O 2.748 -2.546 -4.087
O -4.811 -3.547 2.746
O -4.760 -0.249 -2.215
O 2.697 -5.843 0.874
O -3.294 -1.834 1.217
O 1.231 -4.259 -2.558
O -2.946 -2.568 -1.482
O 0.883 -3.525 0.141
O -2.189 -0.164 -1.062
O 0.127 -5.929 -0.279
```

***

Material: YNiBrO2
Method: DFT, PBE with a Hubbard U
State: relaxed

Properties
Space group: P4/mmm
Crystal system: tetragonal
E_tot, eV per atom: -4.032

```
5
Lattice="4.369 0.000 0.000 0.000 4.179 0.000 0.000 0.000 4.369" Properties=species:S:1:pos:R:3 pbc="T T T"
Y 2.185 2.090 2.185
Ni 0.000 2.090 0.000
O 0.000 0.000 2.185
O 2.185 0.000 0.000
Br 0.000 0.000 0.000
```